Below is an optimized crystal structure of Ti4CoCu2, with properties calculated at the PBE-GGA level.

Structure (CIF):
```
data_Ti4CoCu2
_chemical_formula_sum 'Ti4 Co1 Cu2'
_space_group_name_H-M_alt 'P 1'
_space_group_IT_number 1
_cell_length_a 4.4241
_cell_length_b 4.4241
_cell_length_c 6.9338
_cell_angle_alpha 71.40
_cell_angle_beta 71.40
_cell_angle_gamma 90.00
loop_
_space_group_symop_operation_xyz
'x,y,z'
loop_
_atom_site_label
_atom_site_type_symbol
_atom_site_fract_x
_atom_site_fract_y
_atom_site_fract_z
Ti1 Ti 0.8110 0.8110 0.3779
Co1 Co 0.0000 0.0000 0.0000
Cu1 Cu 0.6124 0.6124 0.7753
Cu2 Cu 0.3876 0.3876 0.2247
Ti2 Ti 0.0000 0.5000 0.0000
Ti3 Ti 0.5000 0.0000 0.0000
Ti4 Ti 0.1890 0.1890 0.6221
```

Properties
total magnetization	0.00	μB per formula unit
V	121.1	Å³/cell
DFT total energy	-6.363	eV/atom
calculated formation energy	0.33	eV/atom
space-group type	I4/mmm, No. 139


Below is an optimized crystal structure of Ti6Co2Cu, with properties calculated at the PBE-GGA level.

Structure (CIF):
```
data_Ti6Co2Cu
_chemical_formula_sum 'Ti12 Co4 Cu2'
_space_group_name_H-M_alt 'P 1'
_space_group_IT_number 1
_cell_length_a 5.2563
_cell_length_b 6.6203
_cell_length_c 7.9717
_cell_angle_alpha 90.00
_cell_angle_beta 86.19
_cell_angle_gamma 90.00
loop_
_space_group_symop_operation_xyz
'x,y,z'
loop_
_atom_site_label
_atom_site_type_symbol
_atom_site_fract_x
_atom_site_fract_y
_atom_site_fract_z
Ti1 Ti 0.6692 0.1376 0.9518
Ti2 Ti 0.1692 0.3624 0.4518
Ti3 Ti 0.8079 0.9292 0.2389
Ti4 Ti 0.3079 0.5708 0.7389
Cu1 Cu 0.0000 0.0000 0.5000
Ti5 Ti 0.1921 0.0708 0.7611
Ti6 Ti 0.6921 0.4292 0.2611
Ti7 Ti 0.6396 0.2392 0.5784
Ti8 Ti 0.3308 0.8624 0.0482
Co1 Co 0.1035 0.5923 0.2012
Ti9 Ti 0.8308 0.6376 0.5482
Ti10 Ti 0.3604 0.7608 0.4216
Ti11 Ti 0.8604 0.7392 0.9216
Co2 Co 0.8965 0.4077 0.7988
Cu2 Cu 0.5000 0.5000 0.0000
Co3 Co 0.3965 0.0923 0.2988
Ti12 Ti 0.1396 0.2608 0.0784
Co4 Co 0.6035 0.9077 0.7012
```

Properties
total magnetization	0.00	μB per formula unit
V	276.8	Å³/cell
polymorph energy (0 for the lowest one)	0.1127	eV per atom
DFT total energy	-7.336	eV/atom
calculated formation energy	-0.04	eV/atom
space-group type	P2_1/c, No. 14


Below is an optimized crystal structure of Ti7Co2Cu2, with properties calculated at the PBE-GGA level.

Structure (CIF):
```
data_Ti7Co2Cu2
_chemical_formula_sum 'Ti7 Co2 Cu2'
_space_group_name_H-M_alt 'P 1'
_space_group_IT_number 1
_cell_length_a 5.6142
_cell_length_b 6.0915
_cell_length_c 5.6142
_cell_angle_alpha 90.00
_cell_angle_beta 110.12
_cell_angle_gamma 90.00
loop_
_space_group_symop_operation_xyz
'x,y,z'
loop_
_atom_site_label
_atom_site_type_symbol
_atom_site_fract_x
_atom_site_fract_y
_atom_site_fract_z
Ti1 Ti 0.5000 0.7339 0.0000
Co1 Co 0.2907 0.0000 0.7093
Ti2 Ti 0.0000 0.7339 0.5000
Ti3 Ti 0.0000 0.0000 0.0000
Ti4 Ti 0.0000 0.2661 0.5000
Ti5 Ti 0.5000 0.2552 0.5000
Cu1 Cu 0.8232 0.5000 0.8232
Co2 Co 0.7093 0.0000 0.2907
Ti6 Ti 0.5000 0.2661 0.0000
Ti7 Ti 0.5000 0.7448 0.5000
Cu2 Cu 0.1768 0.5000 0.1768
```

Properties
total magnetization	0.74	μB per formula unit
V	180.3	Å³/cell
DFT total energy	-6.928	eV/atom
calculated formation energy	0.13	eV/atom
space-group type	Cmmm, No. 65


Below is an optimized crystal structure of Ti5CoCu, with properties calculated at the PBE-GGA level.

Structure (CIF):
```
data_Ti5CoCu
_chemical_formula_sum 'Ti10 Co2 Cu2'
_space_group_name_H-M_alt 'P 1'
_space_group_IT_number 1
_cell_length_a 4.8529
_cell_length_b 4.8529
_cell_length_c 9.6585
_cell_angle_alpha 79.25
_cell_angle_beta 79.25
_cell_angle_gamma 84.62
loop_
_space_group_symop_operation_xyz
'x,y,z'
loop_
_atom_site_label
_atom_site_type_symbol
_atom_site_fract_x
_atom_site_fract_y
_atom_site_fract_z
Cu1 Cu 0.3936 0.6064 0.2500
Co1 Co 0.0000 0.0000 0.0000
Ti1 Ti 0.7771 0.4865 0.4423
Ti2 Ti 0.5135 0.2229 0.0577
Co2 Co 0.0000 0.0000 0.5000
Cu2 Cu 0.6064 0.3936 0.7500
Ti3 Ti 0.9185 0.5480 0.1293
Ti4 Ti 0.2229 0.5135 0.5577
Ti5 Ti 0.4865 0.7771 0.9423
Ti6 Ti 0.9987 0.0013 0.7500
Ti7 Ti 0.5480 0.9185 0.6293
Ti8 Ti 0.0815 0.4520 0.8707
Ti9 Ti 0.0013 0.9987 0.2500
Ti10 Ti 0.4520 0.0815 0.3707
```

Properties
total magnetization	0.00	μB per formula unit
V	219.1	Å³/cell
DFT total energy	-7.220	eV/atom
calculated formation energy	0.02	eV/atom
space-group type	C2/c, No. 15